## Ac4Te2AsRh (PBE)

Data for Ac4Te2AsRh after structural relaxation.

Unit cell a=7.9522 b=4.4938 c=8.2074 alpha=90.00 beta=107.54 gamma=90.00
Fractional coordinates of all 8 atoms:
Ac  0.2301  0.0000  0.2142
Ac  0.2474  0.5000  0.7834
Ac  0.7526  0.5000  0.2166
Ac  0.7699  0.0000  0.7858
Te  0.0000  0.0000  0.5000
Te  0.5000  0.5000  0.5000
As  0.5000  0.0000  0.0000
Rh  0.0000  0.5000  0.0000

Calculated values
space-group type = P2/m, No. 10
calculated volume = 279.66 Å³/cell
uncorrected formation energy = -125 kJ per mole of atoms
density = 7.96 g/cm³
raw total energy = -5.6334 eV per atom

***

## NaAgSb2Cl (PBE)

Data for NaAgSb2Cl after structural relaxation.

Unit cell a=5.3085 b=5.3085 c=5.8931 alpha=90.00 beta=90.00 gamma=90.00
Fractional coordinates of all 5 atoms:
Na  0.0000  0.0000  0.0000
Ag  0.5000  0.5000  0.5000
Sb  0.0000  0.5000  0.5000
Sb  0.5000  0.0000  0.5000
Cl  0.5000  0.5000  0.0000

Calculated values
space-group type = P4/mmm, No. 123
calculated volume = 166.07 Å³/cell
uncorrected formation energy = 10 kJ per mole of atoms
density = 4.10 g/cm³
raw total energy = -2.7436 eV per atom

***

## Ba3Tc2O9 (PBE)

Data for Ba3Tc2O9 after structural relaxation.

Unit cell a=5.7973 b=5.7973 c=7.2758 alpha=90.00 beta=90.00 gamma=120.00
Fractional coordinates of all 14 atoms:
Ba  0.0000  0.0000  0.0000
Ba  0.3333  0.6667  0.3438
Ba  0.6667  0.3333  0.6562
Tc  0.3333  0.6667  0.8318
Tc  0.6667  0.3333  0.1682
O  0.0000  0.5000  0.0000
O  0.1790  0.3580  0.6949
O  0.1790  0.8210  0.6949
O  0.3580  0.1790  0.3051
O  0.5000  0.0000  0.0000
O  0.5000  0.5000  0.0000
O  0.6420  0.8210  0.6949
O  0.8210  0.1790  0.3051
O  0.8210  0.6420  0.3051

Calculated values
space-group type = P-3m1, No. 164
calculated volume = 211.77 Å³/cell
uncorrected formation energy = -200 kJ per mole of atoms
density = 5.90 g/cm³
raw total energy = -7.1541 eV per atom

***

## HgSb2O4 (PBE)

Data for HgSb2O4 after structural relaxation.

Unit cell a=6.7862 b=6.9640 c=7.0938 alpha=89.56 beta=63.22 gamma=73.43
Fractional coordinates of all 14 atoms:
Hg  0.0000  0.0000  0.0000
Hg  0.3991  0.6736  0.3149
Sb  0.1863  0.3031  0.2488
Sb  0.1897  0.3638  0.6996
Sb  0.6111  0.8657  0.8513
Sb  0.6569  0.3597  0.7063
O  0.1183  0.5555  0.4794
O  0.2592  0.9776  0.0886
O  0.2962  0.1589  0.4424
O  0.3872  0.5458  0.6671
O  0.4883  0.1634  0.7141
O  0.6766  0.7467  0.0863
O  0.7760  0.0603  0.8703
O  0.8621  0.2946  0.3910

Calculated values
space-group type = P1, No. 1
calculated volume = 284.01 Å³/cell
uncorrected formation energy = -92 kJ per mole of atoms
density = 5.94 g/cm³
raw total energy = -5.0081 eV per atom

***

## Ti3AsO (PBE)

Data for Ti3AsO after structural relaxation.

Unit cell a=6.6978 b=6.6978 c=4.1283 alpha=90.00 beta=90.00 gamma=131.49
Fractional coordinates of all 10 atoms:
Ti  0.0000  0.5000  0.5000
Ti  0.1462  0.8538  0.0000
Ti  0.2545  0.2545  0.5000
Ti  0.5000  0.0000  0.5000
Ti  0.7455  0.7455  0.5000
Ti  0.8538  0.1462  0.0000
As  0.3678  0.6322  0.0000
As  0.6322  0.3678  0.0000
O  0.1221  0.8779  0.5000
O  0.8779  0.1221  0.5000

Calculated values
space-group type = Cmmm, No. 65
relative energy among the computed polymorphs = 15 meV per atom
calculated volume = 138.73 Å³/cell
uncorrected formation energy = -121 kJ per mole of atoms
density = 5.61 g/cm³
raw total energy = -7.9091 eV per atom

***

## Cd2ReSb (PBE)

Data for Cd2ReSb after structural relaxation.

Unit cell a=3.8325 b=3.8325 c=5.5142 alpha=90.00 beta=90.00 gamma=90.00
Fractional coordinates of all 4 atoms:
Cd  0.0000  0.0000  0.2396
Cd  0.0000  0.0000  0.7604
Re  0.5000  0.5000  0.0000
Sb  0.5000  0.5000  0.5000

Calculated values
space-group type = P4/mmm, No. 123
calculated volume = 80.99 Å³/cell
uncorrected formation energy = 65 kJ per mole of atoms
density = 10.92 g/cm³
raw total energy = -3.9277 eV per atom

***

## LaCeCoNi (PBE)

Data for LaCeCoNi after structural relaxation.

Unit cell a=4.8782 b=4.8782 c=4.8782 alpha=60.00 beta=60.00 gamma=60.00
Fractional coordinates of all 4 atoms:
La  0.0000  0.0000  0.0000
Ce  0.5000  0.5000  0.5000
Co  0.7500  0.7500  0.7500
Ni  0.2500  0.2500  0.2500

Calculated values
space-group type = F-43m, No. 216
calculated volume = 82.08 Å³/cell
density = 8.02 g/cm³
formation enthalpy at 0 K = -0.11 eV per atom
raw total energy = -6.0471 eV per atom

***

## DyThCoTe (PBE)

Data for DyThCoTe after structural relaxation.

Unit cell a=7.8128 b=7.8128 c=7.8128 alpha=30.08 beta=30.08 gamma=30.08
Fractional coordinates of all 4 atoms:
Dy  0.0000  0.0000  0.0000
Th  0.2017  0.2017  0.2017
Co  0.5968  0.5968  0.5968
Te  0.7633  0.7633  0.7633

Calculated values
space-group type = R3m, No. 160
calculated volume = 106.14 Å³/cell
uncorrected formation energy = -70 kJ per mole of atoms
density = 9.09 g/cm³
raw total energy = -6.2932 eV per atom